Entry 1:
Density functional theory data (PBE-GGA) for an optimized crystal structure of Li3MoH7.

The structure in POSCAR format:
```
Li3MoH7
1.0
3.353 -3.288 0.000
3.353 3.288 0.000
-3.047 0.000 4.162
Li Mo H
3 1 7
direct
0.000 0.000 0.000 Li
0.278 0.726 0.557 Li
0.726 0.278 0.557 Li
0.577 0.577 0.127 Mo
0.193 0.513 0.811 H
0.358 0.358 0.221 H
0.366 0.869 0.277 H
0.513 0.193 0.811 H
0.669 0.669 0.858 H
0.869 0.366 0.277 H
0.885 0.885 0.508 H
```

As for the space group: No. 8. Its total energy is -41.81 eV for the cell shown.

=====

Entry 2:
Density functional theory data (PBE-GGA) for an optimized crystal structure of Li2MoH6.

The structure in POSCAR format:
```
Li2MoH6
1.0
0.000 3.418 3.418
3.418 0.000 3.418
3.418 3.418 0.000
Li Mo H
2 1 6
direct
0.250 0.250 0.250 Li
0.750 0.750 0.750 Li
0.000 0.000 0.000 Mo
0.267 0.267 0.733 H
0.267 0.733 0.267 H
0.267 0.733 0.733 H
0.733 0.267 0.267 H
0.733 0.267 0.733 H
0.733 0.733 0.267 H
```

The calculation puts the energy above the most stable polymorph in this dataset at 0.397 eV per atom. As for the space group: No. 225.

=====

Entry 3:
Density functional theory data (PBE-GGA) for an optimized crystal structure of LiMo3H.

The structure in POSCAR format:
```
LiMo3H
1.0
3.976 0.000 0.000
0.000 3.976 0.000
0.000 0.000 3.976
Li Mo H
1 3 1
direct
0.000 0.000 0.000 Li
0.000 0.500 0.500 Mo
0.500 0.000 0.500 Mo
0.500 0.500 0.000 Mo
0.500 0.500 0.500 H
```

The calculation puts the energy above the most stable polymorph in this dataset at 0.000 eV per atom. As for the space group: No. 221.

=====

Entry 4:
Density functional theory data (PBE-GGA) for an optimized crystal structure of LiMoH3.

The structure in POSCAR format:
```
LiMoH3
1.0
3.605 0.000 0.000
0.000 3.605 0.000
0.000 0.000 3.605
Li Mo H
1 1 3
direct
0.000 0.000 0.000 Li
0.500 0.500 0.500 Mo
0.000 0.500 0.500 H
0.500 0.000 0.500 H
0.500 0.500 0.000 H
```

The calculation puts the energy above the most stable polymorph in this dataset at 0.229 eV per atom. As for the space group: No. 221.

=====

Entry 5:
Density functional theory data (PBE-GGA) for an optimized crystal structure of LiMo3H.

The structure in POSCAR format:
```
LiMo3H
1.0
4.170 0.000 0.000
0.000 4.170 0.000
0.000 0.000 4.170
Li Mo H
1 3 1
direct
0.000 0.000 0.000 Li
0.000 0.000 0.500 Mo
0.000 0.500 0.000 Mo
0.500 0.000 0.000 Mo
0.500 0.500 0.500 H
```

The calculation puts the energy above the most stable polymorph in this dataset at 1.729 eV per atom. As for the space group: No. 221.

=====

Entry 6:
Density functional theory data (PBE-GGA) for an optimized crystal structure of LiMoH.

The structure in POSCAR format:
```
LiMoH
1.0
-6.388 6.388 3.272
6.388 -6.388 3.272
6.388 6.388 -3.272
Li Mo H
16 16 16
direct
0.000 0.364 0.880 Li
0.000 0.636 0.120 Li
0.016 0.880 0.380 Li
0.136 0.516 0.636 Li
0.139 0.032 0.132 Li
0.380 0.500 0.864 Li
0.400 0.007 0.368 Li
0.468 0.100 0.107 Li
0.493 0.361 0.393 Li
0.507 0.639 0.607 Li
0.532 0.900 0.893 Li
0.600 0.993 0.632 Li
0.620 0.500 0.136 Li
0.861 0.968 0.868 Li
0.864 0.484 0.364 Li
0.984 0.120 0.620 Li
0.113 0.731 0.856 Mo
0.114 0.247 0.380 Mo
0.231 0.875 0.618 Mo
0.235 0.614 0.367 Mo
0.242 0.387 0.118 Mo
0.253 0.133 0.867 Mo
0.367 0.735 0.120 Mo
0.375 0.258 0.644 Mo
0.625 0.742 0.356 Mo
0.633 0.265 0.880 Mo
0.747 0.867 0.133 Mo
0.758 0.613 0.882 Mo
0.765 0.386 0.633 Mo
0.769 0.125 0.382 Mo
0.886 0.753 0.620 Mo
0.887 0.269 0.144 Mo
0.009 0.997 0.261 H
0.087 0.878 0.967 H
0.237 0.748 0.239 H
0.248 0.509 0.511 H
0.378 0.911 0.791 H
0.379 0.413 0.291 H
0.411 0.121 0.533 H
0.497 0.737 0.989 H
0.503 0.263 0.011 H
0.589 0.879 0.467 H
0.621 0.587 0.709 H
0.622 0.089 0.209 H
0.752 0.491 0.489 H
0.763 0.252 0.761 H
0.913 0.122 0.033 H
0.991 0.003 0.739 H
```

As for the space group: No. 88. Its total energy is -250.85 eV for the cell shown.